# UFe12As6

Crystalline UFe12As6 at its relaxed geometry (PBE-GGA, Alexandria).

Electronic total energy (eV/atom): -7.41
Total moment (μB/f.u.): 15.05
Volume (Å³/cell): 264

Lattice parameters (Å, degrees): 6.7425 6.7425 6.7425 105.73 105.73 105.73
Last column: magnetic moment on the atom in μB.
Fractional positions:
U  0.0000  0.0000  0.0000  -2.67
Fe  0.8731  0.1269  0.5000  0.76
Fe  0.8270  0.5821  0.5821  2.35
Fe  0.5821  0.5821  0.8270  2.35
Fe  0.4179  0.1730  0.4179  2.35
Fe  0.4179  0.4179  0.1730  2.35
Fe  0.1730  0.4179  0.4179  2.35
Fe  0.1269  0.5000  0.8731  0.76
Fe  0.5000  0.8731  0.1269  0.76
Fe  0.1269  0.8731  0.5000  0.76
Fe  0.8731  0.5000  0.1269  0.76
Fe  0.5000  0.1269  0.8731  0.76
Fe  0.5821  0.8270  0.5821  2.35
As  0.7020  0.2432  0.2432  -0.06
As  0.2432  0.2432  0.7020  -0.06
As  0.2432  0.7020  0.2432  -0.06
As  0.7568  0.7568  0.2980  -0.06
As  0.2980  0.7568  0.7568  -0.06
As  0.7568  0.2980  0.7568  -0.06

---

# UFeAs2

Crystalline UFeAs2 at its relaxed geometry (PBE-GGA, Alexandria).

Electronic total energy (eV/atom): -7.77
Total moment (μB/f.u.): 0.73
Volume (Å³/cell): 288
Distance to the lowest polymorph of the same formula (meV/atom): 35

Lattice parameters (Å, degrees): 4.1342 7.1227 9.7802 90.00 90.00 90.00
Last column: magnetic moment on the atom in μB.
Fractional positions:
U  0.0625  0.7415  0.3238  1.54
U  0.5625  0.2585  0.6762  1.54
U  0.5625  0.7585  0.8238  1.54
U  0.0625  0.2415  0.1762  1.54
Fe  0.0624  0.1314  0.8672  -0.86
Fe  0.5624  0.8686  0.1328  -0.86
Fe  0.5624  0.3686  0.3672  -0.86
Fe  0.0624  0.6314  0.6328  -0.86
As  0.0626  0.4641  0.8444  -0.05
As  0.5626  0.5359  0.1556  -0.05
As  0.5626  0.0359  0.3444  -0.05
As  0.0626  0.9641  0.6556  -0.05
As  0.5624  0.1392  0.9774  0.00
As  0.0624  0.8608  0.0226  0.00
As  0.0624  0.3608  0.4774  0.00
As  0.5624  0.6392  0.5226  0.00

---

# UFeAs2

Crystalline UFeAs2 at its relaxed geometry (PBE-GGA, Alexandria).

Electronic total energy (eV/atom): -6.93
Total moment (μB/f.u.): 2.00
Volume (Å³/cell): 116
Distance to the lowest polymorph of the same formula (meV/atom): 868

Lattice parameters (Å, degrees): 4.2401 4.2401 7.8426 74.32 74.32 60.00
Last column: magnetic moment on the atom in μB.
Fractional positions:
As  0.1040  0.1040  0.6879  0.07
As  0.8960  0.8960  0.3121  0.07
U  0.5000  0.5000  0.5000  -1.46
Fe  0.0000  0.0000  0.0000  3.14

---

# UFe3As3

Crystalline UFe3As3 at its relaxed geometry (PBE-GGA, Alexandria).

Electronic total energy (eV/atom): -7.03
Total moment (μB/f.u.): 6.67
Volume (Å³/cell): 259

Lattice parameters (Å, degrees): 6.3782 6.3782 6.3782 90.00 90.00 90.00
Last column: magnetic moment on the atom in μB.
Fractional positions:
As  0.0000  0.2500  0.5000  -0.04
As  0.0000  0.7500  0.5000  -0.04
As  0.5000  0.0000  0.7500  -0.04
As  0.7500  0.5000  0.0000  -0.04
As  0.5000  0.0000  0.2500  -0.04
As  0.2500  0.5000  0.0000  -0.04
U  0.5000  0.5000  0.5000  2.75
U  0.0000  0.0000  0.0000  2.75
Fe  0.2500  0.0000  0.5000  1.21
Fe  0.0000  0.5000  0.2500  1.21
Fe  0.5000  0.7500  0.0000  1.21
Fe  0.7500  0.0000  0.5000  1.21
Fe  0.0000  0.5000  0.7500  1.21
Fe  0.5000  0.2500  0.0000  1.21